1.
This record from the Alexandria database describes a relaxed BaLi crystal. The functional is GGA-PBE.

## Properties
Theoretical density: 2.76 g cm⁻³
Energy of formation: 0.070 eV per atom
Relative energy among the computed polymorphs: 27.0 meV per atom
Volume: 43.36 Å³ per atom
Density of states at the Fermi level: 0.95 states/eV/atom

Cell lengths 4.4963, 5.8638, 19.7332 Å; angles 90.00, 90.00, 90.00 degrees
Element x y z (fractional)
Ba: 0.0000 0.7494 0.8155
Ba: 0.5000 0.2506 0.6845
Ba: 0.5000 0.2506 0.3155
Ba: 0.0000 0.7494 0.1845
Ba: 0.0000 0.2541 0.5000
Ba: 0.5000 0.7459 0.0000
Li: 0.0000 0.7525 0.6178
Li: 0.5000 0.2475 0.8822
Li: 0.5000 0.2475 0.1178
Li: 0.0000 0.7525 0.3822
Li: 0.0000 0.2451 0.0000
Li: 0.5000 0.7549 0.5000



2.
This record from the Alexandria database describes a relaxed BaLi3 crystal. The functional is GGA-PBE.

## Properties
Theoretical density: 2.01 g cm⁻³
Energy of formation: 0.193 eV per atom
Volume: 32.71 Å³ per atom
Density of states at the Fermi level: 0.78 states/eV/atom

Cell lengths 3.8482, 3.8482, 10.2024 Å; angles 90.00, 90.00, 120.00 degrees
Element x y z (fractional)
Ba: 0.0000 0.0000 0.0000
Li: 0.0000 0.0000 0.5000
Li: 0.6667 0.3333 0.2949
Li: 0.6667 0.3333 0.7051



3.
This record from the Alexandria database describes a relaxed BaLi crystal. The functional is GGA-PBE.

## Properties
Theoretical density: 2.61 g cm⁻³
Energy of formation: 0.290 eV per atom
Relative energy among the computed polymorphs: 246.7 meV per atom
Volume: 45.93 Å³ per atom
Density of states at the Fermi level: 1.10 states/eV/atom

Cell lengths 4.0364, 4.0364, 13.0200 Å; angles 90.00, 90.00, 120.00 degrees
Element x y z (fractional)
Ba: 0.3333 0.6667 0.0489
Ba: 0.6667 0.3333 0.5489
Li: 0.3333 0.6667 0.3221
Li: 0.6667 0.3333 0.8221



4.
This record from the Alexandria database describes a relaxed BaLi crystal. The functional is GGA-PBE.

## Properties
Theoretical density: 2.82 g cm⁻³
Energy of formation: 0.074 eV per atom
Relative energy among the computed polymorphs: 30.9 meV per atom
Volume: 42.48 Å³ per atom
Density of states at the Fermi level: 0.95 states/eV/atom

Cell lengths 10.3769, 10.3769, 6.3116 Å; angles 90.00, 90.00, 90.00 degrees
Element x y z (fractional)
Ba: 0.7865 0.5000 0.0000
Ba: 0.2135 0.5000 0.0000
Ba: 0.5000 0.2135 0.0000
Ba: 0.5000 0.7865 0.0000
Ba: 0.2865 0.0000 0.5000
Ba: 0.7135 0.0000 0.5000
Ba: 0.0000 0.7135 0.5000
Ba: 0.0000 0.2865 0.5000
Li: 0.1417 0.1417 0.0000
Li: 0.1417 0.8583 0.0000
Li: 0.8583 0.1417 0.0000
Li: 0.8583 0.8583 0.0000
Li: 0.6417 0.6417 0.5000
Li: 0.6417 0.3583 0.5000
Li: 0.3583 0.6417 0.5000
Li: 0.3583 0.3583 0.5000



Q: The highest density of states at the Fermi level belongs to which entry?
A: number 3



Q: Number 3 is which compound?
A: BaLi



Q: Look up the volume of the third one.
A: 45.93 Å³ per atom